No. 1
Material: Dy2Y6TmTh
Method: DFT, PBE-GGA
State: relaxed

The structure in CIF format:
```
data_Dy2Y6TmTh
_chemical_formula_sum 'Dy8 Y24 Tm4 Th4'
_space_group_name_H-M_alt 'C 1 2/c 1'
_space_group_IT_number 15
_space_group_name_Hall '-C 2yc'
_cell_length_a 9.380
_cell_length_b 15.583
_cell_length_c 8.889
_cell_angle_alpha 90.00
_cell_angle_beta 91.63
_cell_angle_gamma 90.00
loop_
_atom_site_label
_atom_site_type_symbol
_atom_site_fract_x
_atom_site_fract_y
_atom_site_fract_z
Dy1 Dy 0.238 0.057 0.440
Y1 Y 0.042 0.329 0.943
Y2 Y 0.104 0.127 0.094
Y3 Y 0.235 0.289 0.298
Tm1 Tm 0.000 0.066 0.750
Th1 Th 0.000 0.466 0.250
```

Computed properties:
Formation energy from the elements   0.15 eV/atom


No. 2
Material: Ce3CO2
Method: DFT, PBE-GGA
State: relaxed

The structure in CIF format:
```
data_Ce3CO2
_chemical_formula_sum 'Ce6 C2 O4'
_space_group_name_H-M_alt 'I m m m'
_space_group_IT_number 71
_space_group_name_Hall '-I 2 2'
_cell_length_a 3.591
_cell_length_b 5.051
_cell_length_c 10.693
_cell_angle_alpha 90.00
_cell_angle_beta 90.00
_cell_angle_gamma 90.00
loop_
_atom_site_label
_atom_site_type_symbol
_atom_site_fract_x
_atom_site_fract_y
_atom_site_fract_z
Ce1 Ce 0.000 0.000 0.000
Ce2 Ce 0.000 0.000 0.333
C1 C 0.000 0.500 0.000
O1 O 0.000 0.500 0.337
```

Computed properties:
E_form (uncorrected)   -1182 kJ/mol of formula units


No. 3
Material: La4BiSe3
Method: DFT, PBE-GGA
State: relaxed

The structure in CIF format:
```
data_La4BiSe3
_chemical_formula_sum 'La4 Bi1 Se3'
_space_group_name_H-M_alt 'P m m m'
_space_group_IT_number 47
_space_group_name_Hall '-P 2 2'
_cell_length_a 4.407
_cell_length_b 6.259
_cell_length_c 8.866
_cell_angle_alpha 90.00
_cell_angle_beta 90.00
_cell_angle_gamma 90.00
loop_
_atom_site_label
_atom_site_type_symbol
_atom_site_fract_x
_atom_site_fract_y
_atom_site_fract_z
La1 La 0.000 0.000 0.000
La2 La 0.000 0.000 0.500
La3 La 0.500 0.500 0.234
Bi1 Bi 0.000 0.500 0.500
Se1 Se 0.000 0.500 0.000
Se2 Se 0.500 0.000 0.248
```

Computed properties:
E_form (uncorrected)   -1336 kJ/mol of formula units


E per entry: -58.390, -49.192, -47.890 eV per formula unit